Density functional theory data (PBE-GGA) for a geometry-optimized PmTm12Pb7 structure.

Computed properties:
ΔE_f, eV per atom: -0.2370
ρ, g cm⁻³: 10.00
M_tot, μB per formula unit: 0.001
Symmetry: R-3m, No. 166

```
PmTm12Pb7
1.0
7.638 4.410 2.978
-7.638 4.410 2.978
0.000 -8.819 2.978
Pm Tm Pb
1 12 7
direct
0.000 0.000 0.000
0.000 0.279 0.721
0.000 0.721 0.279
0.170 0.502 0.502
0.279 0.000 0.721
0.279 0.721 0.000
0.498 0.498 0.830
0.498 0.830 0.498
0.502 0.170 0.502
0.502 0.502 0.170
0.721 0.000 0.279
0.721 0.279 0.000
0.830 0.498 0.498
0.132 0.132 0.439
0.132 0.439 0.132
0.439 0.132 0.132
0.500 0.500 0.500
0.561 0.868 0.868
0.868 0.561 0.868
0.868 0.868 0.561
```



Density functional theory data (PBE-GGA) for a geometry-optimized PmTm2Pb3 structure.

Computed properties:
ΔE_f, eV per atom: -0.4244
E above lowest polymorph, kJ/mol of atoms: 4.55
ρ, g cm⁻³: 10.43
M_tot, μB per formula unit: 0.000
Symmetry: C2/m, No. 12

```
PmTm2Pb3
1.0
2.918 -7.162 0.000
2.918 7.162 0.000
-1.791 0.000 8.418
Pm Tm Pb
2 4 6
direct
0.163 0.837 0.000
0.837 0.163 0.000
0.172 0.828 0.500
0.500 0.500 0.000
0.500 0.500 0.500
0.828 0.172 0.500
0.005 0.005 0.739
0.320 0.647 0.748
0.353 0.680 0.252
0.647 0.320 0.748
0.680 0.353 0.252
0.995 0.995 0.261
```



Density functional theory data (PBE-GGA) for a geometry-optimized Pm14TmPb structure.

Computed properties:
ΔE_f, eV per atom: -0.0517
ρ, g cm⁻³: 7.50
M_tot, μB per formula unit: 0.000
Symmetry: P4/mmm, No. 123

```
Pm14TmPb
1.0
7.210 0.000 0.000
0.000 7.210 0.000
0.000 0.000 10.249
Pm Tm Pb
14 1 1
direct
0.000 0.000 0.000
0.000 0.500 0.000
0.000 0.500 0.500
0.249 0.249 0.255
0.249 0.249 0.745
0.249 0.751 0.255
0.249 0.751 0.745
0.500 0.000 0.000
0.500 0.000 0.500
0.500 0.500 0.000
0.751 0.249 0.255
0.751 0.249 0.745
0.751 0.751 0.255
0.751 0.751 0.745
0.500 0.500 0.500
0.000 0.000 0.500
```



Density functional theory data (PBE-GGA) for a geometry-optimized Pm3Tm2Pb structure.

Computed properties:
ΔE_f, eV per atom: -0.1387
ρ, g cm⁻³: 8.57
M_tot, μB per formula unit: 0.000
Symmetry: C2/c, No. 15

```
Pm3Tm2Pb
1.0
8.682 -3.463 0.000
8.682 3.463 0.000
-1.356 0.000 6.313
Pm Tm Pb
6 4 2
direct
0.201 0.799 0.750
0.233 0.437 0.437
0.437 0.233 0.937
0.563 0.767 0.063
0.767 0.563 0.563
0.799 0.201 0.250
0.051 0.284 0.028
0.284 0.051 0.528
0.716 0.949 0.472
0.949 0.716 0.972
0.297 0.703 0.250
0.703 0.297 0.750
```